First-principles (PBE) data for AlBMo2Pd after structural relaxation, as listed in the Alexandria database.

D(E_F): 1.250 states/eV/atom
total energy: -5.3016 eV/atom
E_form: 2153 meV/atom
theoretical density: 5.4 Mg/m³

Lattice parameters (Å, degrees): 4.8056 4.8056 4.4742 90.00 90.00 90.00
Positions (direct):
1 Al 0.0000 0.0000 0.0000
2 B 0.5000 0.5000 0.0000
3 Mo 0.0000 0.5000 0.5000
4 Mo 0.5000 0.0000 0.5000
5 Pd 0.0000 0.0000 0.5000

=====

First-principles (PBE) data for RbAl2BMo after structural relaxation, as listed in the Alexandria database.

D(E_F): 0.775 states/eV/atom
total energy: -1.9723 eV/atom
E_form: 3220 meV/atom
theoretical density: 2.0 Mg/m³

Lattice parameters (Å, degrees): 5.9094 5.9094 5.8776 90.00 90.00 90.00
Positions (direct):
1 Rb 0.0000 0.0000 0.0000
2 Al 0.0000 0.5000 0.0000
3 Al 0.5000 0.0000 0.0000
4 B 0.5000 0.5000 0.5000
5 Mo 0.0000 0.0000 0.5000

=====

First-principles (PBE) data for AlReB2Mo after structural relaxation, as listed in the Alexandria database.

D(E_F): 0.855 states/eV/atom
polymorph energy (0 for the lowest one): 0 meV/atom
total energy: -6.3141 eV/atom
E_form: 1761 meV/atom
theoretical density: 7.4 Mg/m³

Lattice parameters (Å, degrees): 4.0202 4.0202 4.6206 90.00 90.00 90.00
Positions (direct):
1 Al 0.0000 0.0000 0.0000
2 Re 0.5000 0.5000 0.0000
3 B 0.0000 0.5000 0.5000
4 B 0.5000 0.0000 0.5000
5 Mo 0.0000 0.0000 0.5000

=====

First-principles (PBE) data for AlReB2Mo after structural relaxation, as listed in the Alexandria database.

D(E_F): 0.950 states/eV/atom
polymorph energy (0 for the lowest one): 250 meV/atom
total energy: -6.0636 eV/atom
E_form: 2012 meV/atom
theoretical density: 7.6 Mg/m³

Lattice parameters (Å, degrees): 3.9356 3.9356 4.6842 90.00 90.00 90.00
Positions (direct):
1 Al 0.0000 0.0000 0.0000
2 Re 0.0000 0.0000 0.5000
3 B 0.0000 0.5000 0.0000
4 B 0.5000 0.0000 0.0000
5 Mo 0.5000 0.5000 0.5000

=====

First-principles (PBE) data for AlB2Mo2Ru5 after structural relaxation, as listed in the Alexandria database.

D(E_F): 0.295 states/eV/atom
total energy: -8.8956 eV/atom
E_form: -382 meV/atom
theoretical density: 9.8 Mg/m³

Lattice parameters (Å, degrees): 9.3087 9.3087 2.9127 90.00 90.00 90.00
Positions (direct):
1 Al 0.0000 0.0000 0.0000
2 Al 0.5000 0.5000 0.0000
3 B 0.1252 0.3748 0.0000
4 B 0.3748 0.8748 0.0000
5 B 0.6252 0.1252 0.0000
6 B 0.8748 0.6252 0.0000
7 Mo 0.1789 0.6789 0.0000
8 Mo 0.3211 0.1789 0.0000
9 Mo 0.6789 0.8211 0.0000
10 Mo 0.8211 0.3211 0.0000
11 Ru 0.0000 0.5000 0.5000
12 Ru 0.0667 0.2153 0.5000
13 Ru 0.2153 0.9333 0.5000
14 Ru 0.2847 0.4333 0.5000
15 Ru 0.4333 0.7153 0.5000
16 Ru 0.5000 0.0000 0.5000
17 Ru 0.5667 0.2847 0.5000
18 Ru 0.7153 0.5667 0.5000
19 Ru 0.7847 0.0667 0.5000
20 Ru 0.9333 0.7847 0.5000

=====

First-principles (PBE) data for YAlBMo2 after structural relaxation, as listed in the Alexandria database.

D(E_F): 1.320 states/eV/atom
total energy: -5.8378 eV/atom
E_form: 1871 meV/atom
theoretical density: 4.9 Mg/m³

Lattice parameters (Å, degrees): 4.5501 4.5501 5.1677 90.00 90.00 90.00
Positions (direct):
1 Y 0.0000 0.0000 0.0000
2 Al 0.0000 0.0000 0.5000
3 B 0.5000 0.5000 0.0000
4 Mo 0.0000 0.5000 0.5000
5 Mo 0.5000 0.0000 0.5000

=====

First-principles (PBE) data for AlBN3 after structural relaxation, as listed in the Alexandria database.

D(E_F): 0.594 states/eV/atom
total energy: -5.8963 eV/atom
raw formation energy: 1.1829 eV/atom
theoretical density: 3.6 Mg/m³

Lattice parameters (Å, degrees): 3.3420 3.3420 3.3420 90.00 90.00 90.00
Positions (direct):
1 Al 0.0000 0.0000 0.0000
2 B 0.5000 0.5000 0.5000
3 N 0.0000 0.5000 0.5000
4 N 0.5000 0.0000 0.5000
5 N 0.5000 0.5000 0.0000

=====

First-principles (PBE) data for AlB3N after structural relaxation, as listed in the Alexandria database.

D(E_F): 0.328 states/eV/atom
polymorph energy (0 for the lowest one): 0 meV/atom
total energy: -4.7424 eV/atom
raw formation energy: 1.6776 eV/atom
theoretical density: 2.8 Mg/m³

Lattice parameters (Å, degrees): 3.5344 3.5344 3.5344 90.00 90.00 90.00
Positions (direct):
1 Al 0.0000 0.0000 0.0000
2 B 0.0000 0.5000 0.5000
3 B 0.5000 0.0000 0.5000
4 B 0.5000 0.5000 0.0000
5 N 0.5000 0.5000 0.5000